# 1
# In2PtAu PBE-GGA optimized geometry
# - Total energy: -3.735 eV per atom
# - Volume: 315 Å³/cell
data_In2PtAu
_chemical_formula_sum 'In8 Pt4 Au4'
_cell_length_a 6.802
_cell_length_b 6.802
_cell_length_c 6.802
_cell_angle_alpha 90.00
_cell_angle_beta 90.00
_cell_angle_gamma 90.00
_symmetry_space_group_name_H-M 'F -4 3 m'
_symmetry_Int_Tables_number 216
_symmetry_space_group_name_Hall 'F -4 2 3'
loop_
_atom_site_label
_atom_site_fract_x
_atom_site_fract_y
_atom_site_fract_z
In1 0.000 0.000 0.000
In2 0.250 0.250 0.250
Pt1 0.250 0.250 0.750
Au1 0.000 0.000 0.500



# 2
# InPtAu3S4 PBE-GGA optimized geometry
# - Total energy: -3.727 eV per atom
# - Volume: 208 Å³/cell
data_InPtAu3S4
_chemical_formula_sum 'In1 Pt1 Au3 S4'
_cell_length_a 5.922
_cell_length_b 5.922
_cell_length_c 5.922
_cell_angle_alpha 90.00
_cell_angle_beta 90.00
_cell_angle_gamma 90.00
_symmetry_space_group_name_H-M 'P -4 3 m'
_symmetry_Int_Tables_number 215
_symmetry_space_group_name_Hall 'P -4 2 3'
loop_
_atom_site_label
_atom_site_fract_x
_atom_site_fract_y
_atom_site_fract_z
In1 0.000 0.000 0.000
Pt1 0.500 0.500 0.500
Au1 0.000 0.500 0.500
S1 0.254 0.254 0.254



# 3
# InPtAuS3 PBE-GGA optimized geometry
# - Total energy: -3.985 eV per atom
# - Volume: 466 Å³/cell
data_InPtAuS3
_chemical_formula_sum 'In4 Pt4 Au4 S12'
_cell_length_a 3.736
_cell_length_b 15.451
_cell_length_c 8.072
_cell_angle_alpha 90.00
_cell_angle_beta 90.00
_cell_angle_gamma 90.00
_symmetry_space_group_name_H-M 'C m c m'
_symmetry_Int_Tables_number 63
_symmetry_space_group_name_Hall '-C 2c 2'
loop_
_atom_site_label
_atom_site_fract_x
_atom_site_fract_y
_atom_site_fract_z
In1 0.000 0.222 0.250
Pt1 0.000 0.500 0.000
Au1 0.000 0.057 0.750
S1 0.000 0.179 0.567
S2 0.000 0.421 0.750



# 4
# InTe2PtAuS PBE-GGA optimized geometry
# - Total energy: -3.949 eV per atom
# - Volume: 588 Å³/cell
data_InTe2PtAuS
_chemical_formula_sum 'In4 Te8 Pt4 Au4 S4'
_cell_length_a 3.998
_cell_length_b 13.011
_cell_length_c 11.295
_cell_angle_alpha 90.00
_cell_angle_beta 90.00
_cell_angle_gamma 90.00
_symmetry_space_group_name_H-M 'C m c m'
_symmetry_Int_Tables_number 63
_symmetry_space_group_name_Hall '-C 2c 2'
loop_
_atom_site_label
_atom_site_fract_x
_atom_site_fract_y
_atom_site_fract_z
In1 0.000 0.160 0.250
Te1 0.000 0.135 0.517
Pt1 0.000 0.500 0.000
Au1 0.000 0.177 0.750
S1 0.000 0.475 0.750



# 5
# Sc3In3Pt2Au PBE-GGA optimized geometry
# - Total energy: -5.558 eV per atom
# - Volume: 180 Å³/cell
data_Sc3In3Pt2Au
_chemical_formula_sum 'Sc3 In3 Pt2 Au1'
_cell_length_a 7.6955
_cell_length_b 7.6955
_cell_length_c 3.5149
_cell_angle_alpha 90.00
_cell_angle_beta 90.00
_cell_angle_gamma 120.00
_symmetry_space_group_name_H-M 'P -6 2 m'
_symmetry_Int_Tables_number 189
_symmetry_space_group_name_Hall 'P -6 -2'
loop_
_atom_site_label
_atom_site_fract_x
_atom_site_fract_y
_atom_site_fract_z
Sc1 0.0000 0.3980 0.0000
In1 0.0000 0.7193 0.5000
Pt1 0.3333 0.6667 0.5000
Au1 0.0000 0.0000 0.0000



# 6
# Sc3In3PtAu PBE-GGA optimized geometry
# - Total energy: -5.309 eV per atom
# - Volume: 168 Å³/cell
data_Sc3In3PtAu
_chemical_formula_sum 'Sc3 In3 Pt1 Au1'
_cell_length_a 7.5716
_cell_length_b 7.5716
_cell_length_c 3.3827
_cell_angle_alpha 90.00
_cell_angle_beta 90.00
_cell_angle_gamma 120.00
_symmetry_space_group_name_H-M 'P -6'
_symmetry_Int_Tables_number 174
_symmetry_space_group_name_Hall 'P -6'
loop_
_atom_site_label
_atom_site_fract_x
_atom_site_fract_y
_atom_site_fract_z
Sc1 0.0143 0.5911 0.0000
In1 0.2350 0.0020 0.5000
Pt1 0.3333 0.6667 0.5000
Au1 0.6667 0.3333 0.5000



# 7
# Tb2ScIn3PtAu2 PBE-GGA optimized geometry
# - Total energy: -4.840 eV per atom
# - Volume: 399 Å³/cell
data_Tb2ScIn3PtAu2
_chemical_formula_sum 'Tb4 Sc2 In6 Pt2 Au4'
_cell_length_a 3.901
_cell_length_b 13.284
_cell_length_c 7.701
_cell_angle_alpha 90.00
_cell_angle_beta 90.00
_cell_angle_gamma 90.00
_symmetry_space_group_name_H-M 'A m m 2'
_symmetry_Int_Tables_number 38
_symmetry_space_group_name_Hall 'A 2 -2'
loop_
_atom_site_label
_atom_site_fract_x
_atom_site_fract_y
_atom_site_fract_z
Tb1 0.000 0.201 0.000
Sc1 0.000 0.000 0.598
In1 0.500 0.000 0.941
In2 0.500 0.127 0.333
Pt1 0.000 0.000 0.204
Au1 0.500 0.163 0.699



# 8
# TmSc2In3PtAu2 PBE-GGA optimized geometry
# - Total energy: -4.982 eV per atom
# - Volume: 377 Å³/cell
data_TmSc2In3PtAu2
_chemical_formula_sum 'Tm2 Sc4 In6 Pt2 Au4'
_cell_length_a 3.685
_cell_length_b 13.333
_cell_length_c 7.674
_cell_angle_alpha 90.00
_cell_angle_beta 90.00
_cell_angle_gamma 90.00
_symmetry_space_group_name_H-M 'A m m 2'
_symmetry_Int_Tables_number 38
_symmetry_space_group_name_Hall 'A 2 -2'
loop_
_atom_site_label
_atom_site_fract_x
_atom_site_fract_y
_atom_site_fract_z
Tm1 0.000 0.000 0.000
Sc1 0.000 0.197 0.593
In1 0.500 0.000 0.659
In2 0.500 0.135 0.266
Pt1 0.000 0.000 0.396
Au1 0.500 0.168 0.896